--- A ---
# YTeBr2

Crystalline YTeBr2 at its relaxed geometry (PBE, Alexandria).

The space group is C2/m (No. 12) and the conventional cell measures 6.687, 10.427 and 4.610 Å, with angles of 90.00, 132.78 and 90.00 degrees. Symmetry generates all atoms from Y at (0.000, 0.000, 0.000), Te at (0.000, 0.500, 0.000) and Br at (0.250, 0.250, 0.500).

The value obtained for the volume is 235.9 Å³ per cell.

--- B ---
# YTeBr2

Crystalline YTeBr2 at its relaxed geometry (PBE, Alexandria).

The space group is P4mm (No. 99) and the conventional cell measures 3.997, 3.997 and 8.167 Å, with angles of 90.00, 90.00 and 90.00 degrees. Symmetry generates all atoms from Y at (0.000, 0.000, 0.000), Te at (0.500, 0.500, 0.849), Br at (0.000, 0.000, 0.639) and Br at (0.500, 0.500, 0.237).

The value obtained for the volume is 130.5 Å³ per cell.

Winner for stability: B

--- A ---
# YTeBr2

Crystalline YTeBr2 at its relaxed geometry (PBE, Alexandria).

The space group is R-3m (No. 166, hexagonal axes) and the conventional cell measures 3.7048, 3.7048 and 31.7631 Å, with angles of 90.00, 90.00 and 120.00 degrees. Symmetry generates all atoms from Y at (0.0000, 0.0000, 0.0000), Te at (0.0000, 0.0000, 0.5000) and Br at (0.0000, 0.0000, 0.2746).

The value obtained for the volume is 377.6 Å³ per cell.

--- B ---
# YTeBr2

Crystalline YTeBr2 at its relaxed geometry (PBE, Alexandria).

The space group is I-42d (No. 122) and the conventional cell measures 9.989, 9.989 and 6.076 Å, with angles of 90.00, 90.00 and 90.00 degrees. Symmetry generates all atoms from Y at (0.000, 0.000, 0.000), Te at (0.000, 0.000, 0.500) and Br at (0.115, 0.750, 0.125).

The value obtained for the volume is 606.3 Å³ per cell.

Winner for stability: B

--- A ---
# YTeBr2

Crystalline YTeBr2 at its relaxed geometry (PBE, Alexandria).

The space group is Pmmm (No. 47) and the conventional cell measures 4.051, 4.991 and 5.361 Å, with angles of 90.00, 90.00 and 90.00 degrees. Symmetry generates all atoms from Y at (0.000, 0.000, 0.000), Te at (0.500, 0.000, 0.500), Br at (0.000, 0.500, 0.500) and Br at (0.500, 0.500, 0.000).

The value obtained for the volume is 108.4 Å³ per cell.

--- B ---
# YTeBr2

Crystalline YTeBr2 at its relaxed geometry (PBE, Alexandria).

The space group is I-4m2 (No. 119) and the conventional cell measures 4.729, 4.729 and 9.606 Å, with angles of 90.00, 90.00 and 90.00 degrees. Symmetry generates all atoms from Y at (0.000, 0.000, 0.000), Te at (0.000, 0.500, 0.250), Br at (0.000, 0.000, 0.500) and Br at (0.000, 0.500, 0.750).

The value obtained for the volume is 214.9 Å³ per cell.

Winner for stability: B

--- A ---
# YTeBr2

Crystalline YTeBr2 at its relaxed geometry (PBE, Alexandria).

The space group is Cmmm (No. 65) and the conventional cell measures 6.611, 9.452 and 3.537 Å, with angles of 90.00, 90.00 and 90.00 degrees. Symmetry generates all atoms from Y at (0.000, 0.000, 0.000), Te at (0.000, 0.500, 0.000) and Br at (0.250, 0.250, 0.500).

The value obtained for the volume is 221.0 Å³ per cell.

--- B ---
# YTeBr2

Crystalline YTeBr2 at its relaxed geometry (PBE, Alexandria).

The space group is Cmmm (No. 65) and the conventional cell measures 6.235, 13.779 and 3.807 Å, with angles of 90.00, 90.00 and 90.00 degrees. Symmetry generates all atoms from Y at (0.000, 0.000, 0.000), Te at (0.000, 0.500, 0.000) and Br at (0.000, 0.147, 0.500).

The value obtained for the volume is 327.1 Å³ per cell.

--- C ---
# YTeBr2

Crystalline YTeBr2 at its relaxed geometry (PBE, Alexandria).

The space group is Imm2 (No. 44) and the conventional cell measures 3.550, 5.317 and 16.133 Å, with angles of 90.00, 90.00 and 90.00 degrees. Symmetry generates all atoms from Y at (0.000, 0.000, 0.000), Te at (0.000, 0.500, 0.340), Br at (0.000, 0.000, 0.494) and Br at (0.000, 0.500, 0.635).

The value obtained for the volume is 304.5 Å³ per cell.

--- D ---
# YTeBr2

Crystalline YTeBr2 at its relaxed geometry (PBE, Alexandria).

The space group is P4/mmm (No. 123) and the conventional cell measures 3.431, 3.431 and 10.682 Å, with angles of 90.00, 90.00 and 90.00 degrees. Symmetry generates all atoms from Y at (0.000, 0.000, 0.000), Te at (0.000, 0.000, 0.500) and Br at (0.500, 0.500, 0.161).

The value obtained for the volume is 125.8 Å³ per cell.

Winner for stability: B